Computed, not measured: an optimized crystal structure of ScB at the PBE level of DFT.

Its formation energy is 21 meV/atom. Its calculated total energy is -6.484 eV per atom. The calculation puts the magnetic moment at 0.00 Bohr magnetons per cell.

It has space group Pm-3m (No. 221), with a = 2.968 Å, b = 2.968 Å, c = 2.968 Å, α = 90.00°, β = 90.00° and γ = 90.00°. The distinct sites, in fractional coordinates, are Sc at (0.000, 0.000, 0.000) and B at (0.500, 0.500, 0.500).

Computed, not measured: an optimized crystal structure of CsMoPCl2 at the PBE level of DFT.

The value obtained for the uncorrected formation energy is -599 meV/atom. Its calculated total energy is -4.756 eV per atom. The calculation puts the magnetic moment at 1.66 Bohr magnetons per cell.

It has space group P4/mmm (No. 123), with a = 5.297 Å, b = 5.297 Å, c = 4.714 Å, α = 90.00°, β = 90.00° and γ = 90.00°. The distinct sites, in fractional coordinates, are Cs at (0.000, 0.000, 0.000), Mo at (0.500, 0.500, 0.500), P at (0.500, 0.500, 0.000) and Cl at (0.000, 0.500, 0.500).

Computed, not measured: an optimized crystal structure of TlCdNi2B at the PBE level of DFT.

Its formation energy is 1432 meV/atom. Its calculated total energy is -2.872 eV per atom. The calculation puts the magnetic moment at 0.00 Bohr magnetons per cell.

It has space group P4/mmm (No. 123), with a = 4.886 Å, b = 4.886 Å, c = 4.111 Å, α = 90.00°, β = 90.00° and γ = 90.00°. The distinct sites, in fractional coordinates, are Tl at (0.000, 0.000, 0.000), Cd at (0.500, 0.500, 0.500), Ni at (0.000, 0.500, 0.000) and B at (0.000, 0.000, 0.500).

Computed, not measured: an optimized crystal structure of Pu8Tc5Rh at the PBE level of DFT.

Its formation energy is 84 meV/atom. Its calculated total energy is -12.333 eV per atom. The calculation puts the magnetic moment at 72.72 Bohr magnetons per cell.

It has space group I-4 (No. 82), with a = 8.760 Å, b = 8.760 Å, c = 7.778 Å, α = 90.00°, β = 90.00° and γ = 90.00°. The distinct sites, in fractional coordinates, are Pu at (0.013, 0.184, 0.282), Pu at (0.111, 0.347, 0.889), Tc at (0.000, 0.000, 0.000), Tc at (0.181, 0.695, 0.980) and Rh at (0.000, 0.500, 0.250).

Computed, not measured: an optimized crystal structure of TlAs2HBr at the PBE level of DFT.

The value obtained for the energy above the lowest structure with this stoichiometry is 774 meV per atom. Its calculated total energy is -2.212 eV per atom. The calculation puts the magnetic moment at 3.29 Bohr magnetons per cell.

It has space group P4/mmm (No. 123), with a = 5.480 Å, b = 5.480 Å, c = 5.942 Å, α = 90.00°, β = 90.00° and γ = 90.00°. The distinct sites, in fractional coordinates, are Tl at (0.000, 0.000, 0.000), As at (0.000, 0.500, 0.000), H at (0.500, 0.500, 0.500) and Br at (0.000, 0.000, 0.500).

Computed, not measured: an optimized crystal structure of CaTa2As at the PBE level of DFT.

Its formation energy is 143 meV/atom. Its calculated total energy is -7.446 eV per atom. The calculation puts the magnetic moment at 0.00 Bohr magnetons per cell.

It has space group Cm (No. 8), with a = 8.870 Å, b = 3.280 Å, c = 6.229 Å, α = 90.00°, β = 100.57° and γ = 90.00°. The distinct sites, in fractional coordinates, are Ca at (0.000, 0.000, 0.000), Ta at (0.216, 0.000, 0.655), Ta at (0.473, 0.000, 0.476) and As at (0.240, 0.500, 0.307).

Computed, not measured: an optimized crystal structure of HgPb2Cl at the PBE level of DFT.

The value obtained for the uncorrected formation energy is -188 meV/atom. The value obtained for the energy above the lowest structure with this stoichiometry is 104 meV per atom. Its calculated total energy is -2.579 eV per atom. The calculation puts the magnetic moment at 0.00 Bohr magnetons per cell.

It has space group I-42d (No. 122), with a = 4.780 Å, b = 4.780 Å, c = 21.766 Å, α = 90.00°, β = 90.00° and γ = 90.00°. The distinct sites, in fractional coordinates, are Hg at (0.000, 0.000, 0.000), Pb at (0.236, 0.250, 0.625) and Cl at (0.000, 0.000, 0.500).

Computed, not measured: an optimized crystal structure of RbP3Pd at the PBE level of DFT.

The value obtained for the energy above the lowest structure with this stoichiometry is 1863 meV per atom. Its formation energy is 2378 meV/atom. Its calculated total energy is -2.100 eV per atom. The calculation puts the magnetic moment at 1.29 Bohr magnetons per cell.

It has space group Pm-3m (No. 221), with a = 5.292 Å, b = 5.292 Å, c = 5.292 Å, α = 90.00°, β = 90.00° and γ = 90.00°. The distinct sites, in fractional coordinates, are Rb at (0.000, 0.000, 0.000), P at (0.000, 0.000, 0.500) and Pd at (0.500, 0.500, 0.500).

Computed, not measured: an optimized crystal structure of Ca8TlHg2 at the PBE level of DFT.

The value obtained for the energy above the lowest structure with this stoichiometry is 16 meV per atom. Its formation energy is -257 meV/atom. Its calculated total energy is -1.983 eV per atom. The calculation puts the magnetic moment at 0.00 Bohr magnetons per cell.

It has space group Immm (No. 71), with a = 5.249 Å, b = 8.904 Å, c = 15.475 Å, α = 90.00°, β = 90.00° and γ = 90.00°. The distinct sites, in fractional coordinates, are Ca at (0.000, 0.000, 0.138), Ca at (0.000, 0.218, 0.337), Ca at (0.000, 0.313, 0.000), Tl at (0.000, 0.500, 0.500) and Hg at (0.000, 0.500, 0.190).

Computed, not measured: an optimized crystal structure of Ca2PrPt2 at the PBE level of DFT.

The value obtained for the energy above the lowest structure with this stoichiometry is 47 meV per atom. Its formation energy is -841 meV/atom. Its calculated total energy is -5.014 eV per atom. The calculation puts the magnetic moment at 0.00 Bohr magnetons per cell.

It has space group P2_1/m (No. 11), with a = 5.705 Å, b = 4.508 Å, c = 10.897 Å, α = 90.00°, β = 96.38° and γ = 90.00°. The distinct sites, in fractional coordinates, are Ca at (0.109, 0.250, 0.381), Ca at (0.248, 0.250, 0.036), Pr at (0.398, 0.250, 0.711), Pt at (0.234, 0.750, 0.857) and Pt at (0.358, 0.750, 0.526).

Computed, not measured: an optimized crystal structure of MoW2Se2S4 at the PBE level of DFT.

The value obtained for the uncorrected formation energy is -765 meV/atom. The value obtained for the energy above the lowest structure with this stoichiometry is 0 meV per atom. Its calculated total energy is -7.456 eV per atom. The calculation puts the magnetic moment at 0.00 Bohr magnetons per cell.

It has space group P3m1 (No. 156), with a = 3.2306 Å, b = 3.2306 Å, c = 21.7726 Å, α = 90.00°, β = 90.00° and γ = 120.00°. The distinct sites, in fractional coordinates, are Mo at (0.0000, 0.0000, 0.0000), W at (0.0000, 0.0000, 0.6487), W at (0.6667, 0.3333, 0.3278), Se at (0.6667, 0.3333, 0.0784), Se at (0.6667, 0.3333, 0.9216), S at (0.0000, 0.0000, 0.2562), S at (0.0000, 0.0000, 0.3993), S at (0.6667, 0.3333, 0.5772) and S at (0.6667, 0.3333, 0.7203).

Computed, not measured: an optimized crystal structure of ThPS4Cl at the PBE level of DFT.

The value obtained for the uncorrected formation energy is -1017 meV/atom. Its calculated total energy is -5.472 eV per atom. The calculation puts the magnetic moment at 0.00 Bohr magnetons per cell.

It has space group C2/m (No. 12), with a = 10.952 Å, b = 8.820 Å, c = 7.971 Å, α = 90.00°, β = 104.56° and γ = 90.00°. The distinct sites, in fractional coordinates, are Th at (0.215, 0.000, 0.125), P at (0.144, 0.500, 0.277), S at (0.032, 0.500, 0.695), S at (0.177, 0.325, 0.111), S at (0.221, 0.000, 0.498) and Cl at (0.024, 0.000, 0.809).